! CaHgSeBr2 | the Alexandria database | meta-GGA SCAN | single point on PBEsol structure; values from VASP
! * density: 4.62 g/cm3
! * formation energy without anion corrections: -0.796 eV/atom
! * calculated volume: 34.495 A^3/atom
&SYSTEM
  ibrav = 0, nat = 5, ntyp = 4
/
ATOMIC_SPECIES
Se 78.96 Se.upf
Ca 40.08 Ca.upf
Br 79.90 Br.upf
Hg 200.59 Hg.upf
ATOMIC_POSITIONS crystal
Se 0.0000 0.0000 0.5000
Ca 0.0000 0.0000 0.0000
Br 0.5000 0.0000 0.0000
Br 0.0000 0.5000 0.0000
Hg 0.5000 0.5000 0.5000
CELL_PARAMETERS angstrom
-0.2946 -2.9698 4.5787
4.9285 -2.1142 -1.0542
2.4763 4.3019 2.9495


! CaIBr | the Alexandria database | meta-GGA SCAN | single point on PBEsol structure; values from VASP
! * density: 3.70 g/cm3
! * formation energy without anion corrections: -2.014 eV/atom
! * calculated volume: 36.982 A^3/atom
&SYSTEM
  ibrav = 0, nat = 6, ntyp = 3
/
ATOMIC_SPECIES
I 126.90 I.upf
Ca 40.08 Ca.upf
Br 79.90 Br.upf
ATOMIC_POSITIONS crystal
I 0.1191 0.7980 0.2382
I 0.8809 0.2020 0.7618
Ca 0.2487 0.2564 0.4974
Ca 0.7513 0.7436 0.5026
Br 0.3604 0.6847 0.7208
Br 0.6396 0.3153 0.2792
CELL_PARAMETERS angstrom
4.3258 0.0000 0.0000
0.0000 7.4684 0.0186
-2.1629 -3.4077 6.8597


! Ca3IBr | the Alexandria database | meta-GGA SCAN | single point on PBEsol structure; values from VASP
! * density: 3.01 g/cm3
! * formation energy without anion corrections: -0.390 eV/atom
! * calculated volume: 36.132 A^3/atom
&SYSTEM
  ibrav = 0, nat = 5, ntyp = 3
/
ATOMIC_SPECIES
Ca 40.08 Ca.upf
I 126.90 I.upf
Br 79.90 Br.upf
ATOMIC_POSITIONS crystal
Ca 0.0000 0.0000 0.5000
Ca 0.0000 0.5000 0.0000
Ca 0.5000 0.0000 0.0000
I 0.5000 0.5000 0.5000
Br 0.0000 0.0000 0.0000
CELL_PARAMETERS angstrom
5.6531 0.0000 0.0000
0.0000 5.6531 0.0000
0.0000 0.0000 5.6531


! CaTe2IBr | the Alexandria database | meta-GGA SCAN | single point on PBEsol structure; values from VASP
! * density: 4.34 g/cm3
! * formation energy without anion corrections: -0.112 eV/atom
! * calculated volume: 38.444 A^3/atom
&SYSTEM
  ibrav = 0, nat = 5, ntyp = 4
/
ATOMIC_SPECIES
Br 79.90 Br.upf
Te 127.60 Te.upf
Ca 40.08 Ca.upf
I 126.90 I.upf
ATOMIC_POSITIONS crystal
Br 0.5000 0.5000 0.5000
Te 0.0000 0.5000 0.0000
Te 0.0000 0.0000 0.5000
Ca 0.0000 0.0000 0.0000
I 0.5000 0.0000 0.0000
CELL_PARAMETERS angstrom
5.6856 0.0000 0.0000
0.0000 5.8145 0.0000
0.0000 0.0000 5.8145


! Ca2InBr | the Alexandria database | meta-GGA SCAN | single point on PBEsol structure; values from VASP
! * distance to the lowest polymorph of the same formula: 53 meV/atom
! * density: 3.93 g/cm3
! * formation energy without anion corrections: -1.046 eV/atom
! * calculated volume: 29.050 A^3/atom
&SYSTEM
  ibrav = 0, nat = 4, ntyp = 3
/
ATOMIC_SPECIES
Ca 40.08 Ca.upf
Br 79.90 Br.upf
In 114.82 In.upf
ATOMIC_POSITIONS crystal
Ca 0.7513 0.5026 0.7531
Ca 0.2487 0.4974 0.2469
Br 0.5000 0.0000 0.0000
In 0.0000 0.0000 0.5000
CELL_PARAMETERS angstrom
4.0127 0.0000 0.0000
-2.0063 3.4788 -0.0120
0.0000 -2.2888 8.3321


! Ca2InBr | the Alexandria database | meta-GGA SCAN | single point on PBEsol structure; values from VASP
! * distance to the lowest polymorph of the same formula: 0 meV/atom
! * density: 3.81 g/cm3
! * formation energy without anion corrections: -1.100 eV/atom
! * calculated volume: 29.954 A^3/atom
&SYSTEM
  ibrav = 0, nat = 4, ntyp = 3
/
ATOMIC_SPECIES
Ca 40.08 Ca.upf
In 114.82 In.upf
Br 79.90 Br.upf
ATOMIC_POSITIONS crystal
Ca 0.0000 0.4995 0.2746
Ca 0.0000 0.5005 0.7254
In 0.5000 0.0000 0.5000
Br 0.5000 0.5000 0.0000
CELL_PARAMETERS angstrom
-2.1032 1.6766 2.5027
0.9429 -2.6829 2.5898
6.6319 4.6897 2.4316


! CaIn2Br | the Alexandria database | meta-GGA SCAN | single point on PBEsol structure; values from VASP
! * density: 5.33 g/cm3
! * formation energy without anion corrections: -0.443 eV/atom
! * calculated volume: 27.246 A^3/atom
&SYSTEM
  ibrav = 0, nat = 4, ntyp = 3
/
ATOMIC_SPECIES
Ca 40.08 Ca.upf
In 114.82 In.upf
Br 79.90 Br.upf
ATOMIC_POSITIONS crystal
Ca 0.5000 0.0000 0.0000
In 0.0000 0.5000 0.0000
In 0.0000 0.0000 0.5000
Br 0.5000 0.5000 0.5000
CELL_PARAMETERS angstrom
-2.4246 2.6670 1.3346
-4.1317 -2.9882 -1.5345
-0.0271 -2.4026 4.7521


! CaInBr3 | the Alexandria database | meta-GGA SCAN | single point on PBEsol structure; values from VASP
! * density: 3.83 g/cm3
! * formation energy without anion corrections: -1.551 eV/atom
! * calculated volume: 34.207 A^3/atom
&SYSTEM
  ibrav = 0, nat = 5, ntyp = 3
/
ATOMIC_SPECIES
Br 79.90 Br.upf
In 114.82 In.upf
Ca 40.08 Ca.upf
ATOMIC_POSITIONS crystal
Br 0.0000 0.0000 0.5000
Br 0.0000 0.5000 0.0000
Br 0.5000 0.0000 0.0000
In 0.5000 0.5000 0.5000
Ca 0.0000 0.0000 0.0000
CELL_PARAMETERS angstrom
-2.1577 5.0878 0.5200
-0.4783 -0.7626 5.4774
5.0919 2.0844 0.7348